# 1
# ErNiAg GGA-PBE optimized geometry
data_ErNiAg
_chemical_formula_sum 'Er1 Ni1 Ag1'
_space_group_name_H-M_alt 'P 1'
_space_group_IT_number 1
_space_group_name_Hall 'P 1'
_cell_length_a 4.426
_cell_length_b 4.426
_cell_length_c 4.426
_cell_angle_alpha 60.00
_cell_angle_beta 60.00
_cell_angle_gamma 60.00
loop_
_atom_site_label
_atom_site_type_symbol
_atom_site_fract_x
_atom_site_fract_y
_atom_site_fract_z
Ag1 Ag 0.250 0.250 0.250
Er1 Er 0.750 0.750 0.750
Ni1 Ni 0.000 0.000 0.000
# VASP energy, eV per cell: -13.5
# Size of the total moment, μB/cell: 0.0
# Distance to the lowest polymorph of the same formula, meV/atom: 0


# 2
# ZnPbSO GGA-PBE optimized geometry
data_ZnPbSO
_chemical_formula_sum 'Zn2 Pb2 S2 O2'
_space_group_name_H-M_alt 'P 1'
_space_group_IT_number 1
_space_group_name_Hall 'P 1'
_cell_length_a 4.298
_cell_length_b 4.298
_cell_length_c 9.288
_cell_angle_alpha 90.00
_cell_angle_beta 90.00
_cell_angle_gamma 90.02
loop_
_atom_site_label
_atom_site_type_symbol
_atom_site_fract_x
_atom_site_fract_y
_atom_site_fract_z
Zn1 Zn 0.750 0.250 0.023
Zn2 Zn 0.250 0.750 0.977
O1 O 0.750 0.750 0.000
O2 O 0.250 0.250 0.000
S1 S 0.750 0.250 0.291
S2 S 0.250 0.750 0.709
Pb1 Pb 0.250 0.250 0.500
Pb2 Pb 0.750 0.750 0.500
# VASP energy, eV per cell: -30.8
# Distance to the lowest polymorph of the same formula, meV/atom: 612


# 3
# CdTeO3 GGA-PBE optimized geometry
data_CdTeO3
_chemical_formula_sum 'Cd1 Te1 O3'
_space_group_name_H-M_alt 'P 1'
_space_group_IT_number 1
_space_group_name_Hall 'P 1'
_cell_length_a 4.190
_cell_length_b 4.190
_cell_length_c 4.409
_cell_angle_alpha 90.00
_cell_angle_beta 90.00
_cell_angle_gamma 90.00
loop_
_atom_site_label
_atom_site_type_symbol
_atom_site_fract_x
_atom_site_fract_y
_atom_site_fract_z
O1 O 0.500 0.500 0.128
O2 O 0.500 0.000 0.646
O3 O 0.000 0.500 0.646
Te1 Te 0.500 0.500 0.560
Cd1 Cd 0.000 0.000 0.919
# VASP energy, eV per cell: -22.6